[1]
SbTeRh2 PBE relaxed; volume = 19.3 A^3/atom; density = 9.80 Mg/m³; energy relative to the elements, uncorrected = 1.5 eV per formula unit; raw total energy = -5.11 eV per atom
1.0
0.658 3.650 3.012
-2.896 0.546 3.760
1.638 -0.811 4.414
Te Rh Sb
1 2 1
Direct
0.250 0.250 0.250 Te
0.000 0.000 0.000 Rh
0.750 0.750 0.750 Rh
0.500 0.500 0.500 Sb

[2]
Y2TlPt PBE relaxed; DFT formation energy = -0.46 eV per atom; volume = 27.7 A^3/atom; density = 8.65 Mg/m³; distance to the lowest polymorph of the same formula = 340 meV per atom; raw total energy = -5.79 eV per atom
1.0
-4.937 5.212 3.505
-5.901 -2.321 -4.861
-6.354 -0.984 1.618
Pt Y Tl
2 4 2
Direct
0.500 0.500 0.000 Pt
0.250 0.750 0.500 Pt
0.167 0.625 0.250 Y
0.583 0.125 0.250 Y
0.875 0.833 0.750 Y
0.375 0.417 0.750 Y
0.000 0.000 0.000 Tl
0.750 0.250 0.500 Tl

[3]
Pa12Tc6Os PBE relaxed; DFT formation energy = 0.07 eV per atom; volume = 24.4 A^3/atom; density = 12.70 Mg/m³; raw total energy = -9.79 eV per atom
1.0
7.809 0.105 0.126
-1.080 7.735 0.126
-1.080 -1.259 7.633
Tc Pa Os
6 12 1
Direct
0.357 0.661 0.867 Tc
0.661 0.867 0.357 Tc
0.643 0.339 0.133 Tc
0.867 0.357 0.661 Tc
0.133 0.643 0.339 Tc
0.339 0.133 0.643 Tc
0.984 0.345 0.070 Pa
0.551 0.188 0.402 Pa
0.345 0.070 0.984 Pa
0.930 0.016 0.655 Pa
0.449 0.812 0.598 Pa
0.598 0.449 0.812 Pa
0.016 0.655 0.930 Pa
0.070 0.984 0.345 Pa
0.655 0.930 0.016 Pa
0.188 0.402 0.551 Pa
0.812 0.598 0.449 Pa
0.402 0.551 0.188 Pa
0.000 0.000 0.000 Os

[4]
La2CoSe PBE relaxed; volume = 25.8 A^3/atom; density = 6.70 Mg/m³; energy relative to the elements, uncorrected = -3.5 eV per formula unit; raw total energy = -5.98 eV per atom
1.0
6.013 0.007 0.004
4.722 3.723 0.004
-0.004 -0.001 4.611
Se Co La
1 1 2
Direct
0.479 0.479 0.625 Se
0.237 0.237 0.125 Co
0.752 0.752 0.625 La
0.031 0.031 0.125 La

[5]
ZrPa2NbN4 PBE relaxed; volume = 13.3 A^3/atom; density = 10.99 Mg/m³; energy relative to the elements, uncorrected = -11.9 eV per formula unit; raw total energy = -10.35 eV per atom
1.0
3.348 0.000 0.000
0.000 5.748 0.096
0.000 -2.014 5.479
N Zr Pa Nb
4 1 2 1
Direct
0.000 0.255 0.770 N
0.000 0.745 0.230 N
0.500 0.760 0.772 N
0.500 0.240 0.228 N
0.500 0.500 0.000 Zr
0.500 0.000 0.500 Pa
0.000 0.500 0.500 Pa
0.000 0.000 0.000 Nb

[6]
Rb2FePtBr6 PBE relaxed; volume = 32.3 A^3/atom; density = 4.64 Mg/m³; energy relative to the elements, uncorrected = -8.2 eV per formula unit; raw total energy = -3.47 eV per atom
1.0
7.499 0.000 0.000
0.000 7.499 0.000
3.749 3.749 5.739
Pt Br Rb Fe
1 6 2 1
Direct
0.000 0.000 0.000 Pt
0.764 0.764 0.000 Br
0.709 0.709 0.583 Br
0.236 0.236 0.000 Br
0.764 0.236 0.000 Br
0.236 0.764 0.000 Br
0.291 0.291 0.417 Br
0.750 0.250 0.500 Rb
0.250 0.750 0.500 Rb
0.500 0.500 0.000 Fe

[7]
Pt2Au PBE relaxed; DFT formation energy = 0.18 eV per atom; volume = 17.4 A^3/atom; density = 18.64 Mg/m³; distance to the lowest polymorph of the same formula = 136 meV per atom; raw total energy = -4.94 eV per atom
1.0
5.364 0.000 0.000
-2.682 4.645 0.000
0.000 0.000 8.398
Au Pt
4 8
Direct
0.667 0.333 0.940 Au
0.667 0.333 0.560 Au
0.333 0.667 0.440 Au
0.333 0.667 0.060 Au
0.000 0.000 0.500 Pt
0.000 0.000 0.000 Pt
0.829 0.171 0.250 Pt
0.829 0.658 0.250 Pt
0.658 0.829 0.750 Pt
0.171 0.342 0.750 Pt
0.342 0.171 0.250 Pt
0.171 0.829 0.750 Pt

[8]
Ac2CeTe3 PBE relaxed; volume = 35.8 A^3/atom; density = 7.55 Mg/m³; distance to the lowest polymorph of the same formula = 3 meV per atom; energy relative to the elements, uncorrected = -8.6 eV per formula unit; raw total energy = -5.37 eV per atom
1.0
4.636 0.000 0.000
0.000 6.600 0.000
-2.318 -3.300 7.019
Te Ce Ac
3 1 2
Direct
0.158 0.658 0.817 Te
0.500 0.000 0.500 Te
0.842 0.342 0.183 Te
0.500 0.500 0.500 Ce
0.170 0.170 0.841 Ac
0.830 0.830 0.159 Ac

[9]
AcCdSnBi PBE relaxed; DFT formation energy = -0.47 eV per atom; volume = 30.6 A^3/atom; density = 9.05 Mg/m³; distance to the lowest polymorph of the same formula = 0 meV per atom; raw total energy = -3.70 eV per atom
1.0
-4.069 -2.508 0.190
1.953 -2.888 3.704
-1.806 3.191 3.440
Bi Ac Cd Sn
1 1 1 1
Direct
0.000 0.000 0.000 Bi
0.500 0.000 0.500 Ac
0.500 0.500 0.000 Cd
0.000 0.500 0.500 Sn

[10]
SmAl2Ru2C PBE relaxed; DFT formation energy = -0.44 eV per atom; volume = 15.9 A^3/atom; density = 7.27 Mg/m³; raw total energy = -7.10 eV per atom
1.0
4.115 0.000 0.000
0.000 4.115 0.000
0.000 0.000 5.641
Ru Al C Sm
2 2 1 1
Direct
0.500 0.000 0.000 Ru
0.000 0.500 0.000 Ru
0.500 0.500 0.271 Al
0.500 0.500 0.729 Al
0.000 0.000 0.000 C
0.000 0.000 0.500 Sm

[11]
RbSr2MnCu PBE relaxed; DFT formation energy = 0.54 eV per atom; volume = 37.8 A^3/atom; density = 3.33 Mg/m³; raw total energy = -2.98 eV per atom
1.0
6.184 0.000 0.000
0.000 4.945 0.000
0.000 0.000 6.184
Sr Rb Cu Mn
2 1 1 1
Direct
0.000 0.000 0.500 Sr
0.500 0.000 0.000 Sr
0.500 0.500 0.500 Rb
0.000 0.500 0.000 Cu
0.000 0.000 0.000 Mn

[12]
Ho2CrIr3 PBE relaxed; DFT formation energy = -0.70 eV per atom; volume = 17.7 A^3/atom; density = 14.98 Mg/m³; raw total energy = -8.26 eV per atom
1.0
-1.617 -1.189 -5.080
4.712 -2.001 1.905
-3.957 -6.640 2.813
Ir Ho Cr
6 4 2
Direct
0.169 0.831 0.250 Ir
0.831 0.663 0.750 Ir
0.831 0.169 0.750 Ir
0.337 0.169 0.750 Ir
0.169 0.337 0.250 Ir
0.663 0.831 0.250 Ir
0.333 0.667 0.563 Ho
0.333 0.667 0.937 Ho
0.667 0.333 0.437 Ho
0.667 0.333 0.063 Ho
0.000 0.000 0.500 Cr
0.000 0.000 0.000 Cr

Number 1: total moment 0.00 μB per formula unit. Number 2: total moment 0.00 μB per formula unit. Number 3: total moment 0.00 μB per formula unit. Number 4: total moment 0.00 μB per formula unit. Number 5: total moment 0.00 μB per formula unit. Number 6: total moment 4.00 μB per formula unit. Number 7: total moment 0.00 μB per formula unit. Number 8: total moment 1.35 μB per formula unit. Number 9: total moment 0.00 μB per formula unit. Number 10: total moment 0.00 μB per formula unit. Number 11: total moment 3.22 μB per formula unit. Number 12: total moment 2.05 μB per formula unit.